A plane-wave DFT calculation with PBE+U was carried out for a relaxed structure of NaMnCu2F8.

Geometry as POSCAR:
```
NaMnCu2F8
1.0
5.2489 0.0001 0.0000
-0.0001 5.2489 0.0000
-2.6244 -2.6245 5.4161
F Cu Mn Na
8 2 1 1
direct
0.0152 0.0002 0.6002
0.9998 0.4151 0.3998
0.7216 0.8602 0.1340
0.4124 0.2738 0.1340
0.4000 0.9848 0.3998
0.7262 0.2784 0.8660
0.1398 0.5876 0.8660
0.5849 0.6000 0.6002
0.2500 0.7500 0.5000
0.5000 0.5000 0.0000
0.7500 0.2500 0.5000
0.0000 0.0000 0.0000
```

Computed properties:
Size of the total moment ... 6.5 μB per cell
Total DFT energy (no corrections) ... -0.1681 hartree per atom